Entry 1:
First-principles (PBE-GGA) data for Mg2FeCo after structural relaxation, as listed in Alexandria via LeMat-Bulk.

Properties
- space group = I4/mmm, No. 139
- ρ (g/cm3) = 4.60
- DFT formation energy (eV per atom) = 0.25
- size of the total moment (μB per atom) = 0.937
- E_tot (eV per atom) = -4.44

abc: 4.8945 4.8945 4.8945
angles: 134.34 134.34 66.56
Last column: nearest neighbours and their distance in Å.
Element x y z (fractional)
Co 0.2500 0.7500 0.5000  4 Fe 2.69, 8 Mg 2.79
Fe 0.7500 0.2500 0.5000  4 Co 2.69, 8 Mg 2.79
Mg 0.0000 0.0000 0.0000  4 Mg 2.69, 4 Fe 2.79, 4 Co 2.79
Mg 0.5000 0.5000 0.0000  4 Mg 2.69, 4 Fe 2.79, 4 Co 2.79

Entry 2:
First-principles (PBE-GGA) data for Mg4FeCo after structural relaxation, as listed in Alexandria via LeMat-Bulk.

Properties
- space group = F-43m, No. 216
- ρ (g/cm3) = 3.18
- DFT formation energy (eV per atom) = 0.64
- size of the total moment (μB per atom) = 0.679
- E_tot (eV per atom) = -3.01

abc: 5.3892 5.3892 5.3892
angles: 60.00 60.00 60.00
Last column: nearest neighbours and their distance in Å.
Element x y z (fractional)
Mg 0.8751 0.3750 0.3750  6 Mg 2.69-2.70
Mg 0.3750 0.3750 0.8751  6 Mg 2.69-2.70
Mg 0.3750 0.8751 0.3750  6 Mg 2.69-2.70
Mg 0.3750 0.3750 0.3750  6 Mg 2.69-2.70
Fe 0.0000 0.0000 0.0000  12 Mg 3.16, 4 Co 3.30
Co 0.7500 0.7500 0.7500  12 Mg 3.16, 4 Fe 3.30

Entry 3:
First-principles (PBE-GGA) data for MgFeCo after structural relaxation, as listed in Alexandria via LeMat-Bulk.

Properties
- space group = Fmm2, No. 42
- ρ (g/cm3) = 5.64
- DFT formation energy (eV per atom) = 0.22
- energy above the most stable polymorph in this dataset (eV/atom) = 0.197
- size of the total moment (μB per atom) = 1.369
- E_tot (eV per atom) = -5.51

abc: 6.5191 6.3511 2.6443
angles: 81.73 74.60 23.67
Last column: nearest neighbours and their distance in Å.
Element x y z (fractional)
Co 0.0097 0.0097 0.9903  2 Fe 2.36, 4 Co 2.64, 2 Mg 2.65
Fe 0.6544 0.6544 0.3456  2 Co 2.36, 4 Fe 2.64
Mg 0.3358 0.3358 0.6642  4 Mg 2.64, 2 Co 2.65, 2 Fe 2.72